P) # NbIrIO2

A relaxed structure of NbIrIO2 (PBE, Alexandria).

abc: 3.8957 3.8957 6.2127
angles: 90.00 90.00 90.00
With the nearest neighbours (Å) after each atom.
Positions (direct):
Nb (0.0000, 0.0000, 0.0000)  4 O 1.95
Ir (0.5000, 0.5000, 0.5000)  4 I 2.75
I (0.0000, 0.0000, 0.5000)  4 Ir 2.75
O (0.0000, 0.5000, 0.0000)  2 Nb 1.95
O (0.5000, 0.0000, 0.0000)  2 Nb 1.95

## Properties
* size of the total moment: 0.120 μB per atom
* symmetry: P4/mmm, No. 123

Q) # NbIrIO2

A relaxed structure of NbIrIO2 (PBE, Alexandria).

abc: 3.8429 3.8429 7.6937
angles: 90.00 90.00 90.00
With the nearest neighbours (Å) after each atom.
Positions (direct):
Nb (0.0000, 0.0000, 0.0000)  4 I 2.72
Ir (0.5000, 0.5000, 0.5000)  4 O 1.92
I (0.5000, 0.5000, 0.0000)  4 Nb 2.72
O (0.0000, 0.5000, 0.5000)  2 Ir 1.92
O (0.5000, 0.0000, 0.5000)  2 Ir 1.92

## Properties
* size of the total moment: 0.688 μB per atom
* symmetry: P4/mmm, No. 123

Stability, lowest: Q)

P) # NbIrI2O

A relaxed structure of NbIrI2O (PBE, Alexandria).

abc: 5.5533 5.5533 3.8323
angles: 90.00 90.00 90.00
With the nearest neighbours (Å) after each atom.
Positions (direct):
Nb (0.0000, 0.0000, 0.0000)  2 O 1.92
Ir (0.5000, 0.5000, 0.5000)  8 I 3.37
I (0.0000, 0.5000, 0.0000)  2 Nb 2.78
I (0.5000, 0.0000, 0.0000)  2 Nb 2.78
O (0.0000, 0.0000, 0.5000)  2 Nb 1.92

## Properties
* size of the total moment: 0.335 μB per atom
* symmetry: P4/mmm, No. 123

Q) # NbIrI2O

A relaxed structure of NbIrI2O (PBE, Alexandria).

abc: 5.6219 5.6219 3.7194
angles: 90.00 90.00 90.00
With the nearest neighbours (Å) after each atom.
Positions (direct):
Nb (0.0000, 0.0000, 0.0000)  8 I 3.37, 2 Nb 3.72
Ir (0.5000, 0.5000, 0.5000)  2 O 1.86
I (0.0000, 0.5000, 0.5000)  2 Ir 2.81
I (0.5000, 0.0000, 0.5000)  2 Ir 2.81
O (0.5000, 0.5000, 0.0000)  2 Ir 1.86

## Properties
* size of the total moment: 0.659 μB per atom
* symmetry: P4/mmm, No. 123

Stability, lowest: Q)